DFT (GGA-PBE) results for crystalline Cs2In4BiPb3 at its relaxed geometry.

D(E_F), states/eV per cell: 4.64
Calculated density, g/cm3: 6.99
Total energy, eV per atom: -2.89
Total moment, μB per formula unit: 0.0
Formation energy, meV per atom: -126.9

Cell lengths 5.420, 5.420, 12.577 Å; angles 90.00, 90.00, 90.00 degrees
Element x y z (fractional)
In (0.500, 0.000, 0.630)
In (0.000, 0.000, 0.000)
In (0.500, 0.500, 0.000)
In (0.000, 0.500, 0.370)
Cs (0.500, 0.000, 0.249)
Cs (0.000, 0.500, 0.751)
Pb (0.000, 0.500, 0.126)
Pb (0.000, 0.000, 0.500)
Pb (0.500, 0.000, 0.874)
Bi (0.500, 0.500, 0.500)